# 1
Below is Dy3Pa4C8 after structural relaxation, with properties calculated at the PBE level.

Its crystal system is monoclinic. The value obtained for the formation energy is 0.0092 eV/atom. The magnetization is 0.00 μB/atom. The calculation puts the calculated density at 9.612 g cm⁻³. As for the volume: 520.9 Å³ per cell.

The structure belongs to space group C2/m (No. 12); the cell edges are 10.080, 10.161 and 7.138 Å and the angles 90.00°, 134.56° and 90.00°. The distinct sites, in fractional coordinates, are Dy at (0.000, 0.000, 0.000), Dy at (0.250, 0.250, 0.000), Pa at (0.000, 0.000, 0.500), Pa at (0.000, 0.500, 0.000), Pa at (0.250, 0.250, 0.500), C at (0.000, 0.230, 0.500), C at (0.000, 0.257, 0.000), C at (0.229, 0.000, 0.943) and C at (0.242, 0.000, 0.516).

# 2
Below is DyPa2C3 after structural relaxation, with properties calculated at the PBE level.

Its crystal system is orthorhombic. The value obtained for the formation energy is -0.4223 eV/atom. The magnetization is 0.00 μB/atom. The calculation puts the calculated density at 11.011 g cm⁻³. As for the volume: 199.2 Å³ per cell.

The structure belongs to space group Immm (No. 71); the cell edges are 3.630, 5.087 and 10.789 Å and the angles 90.00°, 90.00° and 90.00°. The distinct sites, in fractional coordinates, are Dy at (0.000, 0.000, 0.000), Pa at (0.000, 0.000, 0.334), C at (0.000, 0.500, 0.000) and C at (0.000, 0.500, 0.320).

# 3
Below is Dy2PaC after structural relaxation, with properties calculated at the PBE level.

Its crystal system is trigonal. The value obtained for the formation energy is 0.1002 eV/atom. The magnetization is 0.02 μB/atom. The calculation puts the calculated density at 9.902 g cm⁻³. As for the volume: 285.8 Å³ per cell.

The structure belongs to space group R-3m (No. 166, hexagonal axes); the cell edges are 3.3907, 3.3907 and 28.7033 Å and the angles 90.00°, 90.00° and 120.00°. The distinct sites, in fractional coordinates, are Dy at (0.0000, 0.0000, 0.1184), Pa at (0.0000, 0.0000, 0.0000) and C at (0.0000, 0.0000, 0.5000).

# 4
Below is DyPa4C5 after structural relaxation, with properties calculated at the PBE level.

Its crystal system is orthorhombic. The value obtained for the formation energy is -0.4239 eV/atom. The magnetization is 0.00 μB/atom. The calculation puts the calculated density at 11.543 g cm⁻³. As for the volume: 329.9 Å³ per cell.

The structure belongs to space group Immm (No. 71); the cell edges are 3.609, 5.078 and 18.004 Å and the angles 90.00°, 90.00° and 90.00°. The distinct sites, in fractional coordinates, are Dy at (0.000, 0.000, 0.000), Pa at (0.000, 0.000, 0.199), Pa at (0.000, 0.000, 0.401), C at (0.000, 0.500, 0.000), C at (0.000, 0.500, 0.198) and C at (0.000, 0.500, 0.394).

# 5
Below is Dy2Pa3C4 after structural relaxation, with properties calculated at the PBE level.

Its crystal system is monoclinic. The value obtained for the formation energy is -0.3680 eV/atom. The magnetization is 0.00 μB/atom. The calculation puts the calculated density at 10.779 g cm⁻³. As for the volume: 328.5 Å³ per cell.

The structure belongs to space group C2/m (No. 12); the cell edges are 12.013, 3.579 and 8.831 Å and the angles 90.00°, 120.09° and 90.00°. The distinct sites, in fractional coordinates, are Dy at (0.107, 0.000, 0.391), Pa at (0.000, 0.500, 0.000), Pa at (0.200, 0.500, 0.801), C at (0.110, 0.000, 0.915) and C at (0.205, 0.500, 0.289).

# 6
Below is Dy2PaC2 after structural relaxation, with properties calculated at the PBE level.

Its crystal system is trigonal. The value obtained for the formation energy is -0.3511 eV/atom. The magnetization is 0.00 μB/atom. The calculation puts the calculated density at 9.417 g cm⁻³. As for the volume: 306.9 Å³ per cell.

The structure belongs to space group R-3m (No. 166, hexagonal axes); the cell edges are 3.5914, 3.5914 and 27.4714 Å and the angles 90.00°, 90.00° and 120.00°. The distinct sites, in fractional coordinates, are Dy at (0.0000, 0.0000, 0.2307), Pa at (0.0000, 0.0000, 0.0000) and C at (0.0000, 0.0000, 0.3861).

# 7
Below is Dy4PaC4 after structural relaxation, with properties calculated at the PBE level.

Its crystal system is monoclinic. The value obtained for the formation energy is -0.3135 eV/atom. The magnetization is 0.11 μB/atom. The calculation puts the calculated density at 9.161 g cm⁻³. As for the volume: 336.8 Å³ per cell.

The structure belongs to space group C2/m (No. 12); the cell edges are 11.993, 3.634 and 8.894 Å and the angles 90.00°, 119.65° and 90.00°. The distinct sites, in fractional coordinates, are Dy at (0.111, 0.000, 0.389), Dy at (0.205, 0.500, 0.810), Pa at (0.000, 0.500, 0.000), C at (0.092, 0.000, 0.905) and C at (0.197, 0.500, 0.294).

# 8
Below is DyPa2ReC4 after structural relaxation, with properties calculated at the PBE level.

Its crystal system is orthorhombic. The value obtained for the formation energy is -0.1457 eV/atom. The magnetization is 0.00 μB/atom. The calculation puts the calculated density at 11.241 g cm⁻³. As for the volume: 507.5 Å³ per cell.

The structure belongs to space group Cmcm (No. 63); the cell edges are 3.591, 11.834 and 11.941 Å and the angles 90.00°, 90.00° and 90.00°. The distinct sites, in fractional coordinates, are Dy at (0.000, 0.123, 0.250), Pa at (0.000, 0.368, 0.042), Re at (0.000, 0.142, 0.750), C at (0.000, 0.000, 0.000), C at (0.000, 0.262, 0.629) and C at (0.000, 0.435, 0.250).

The evaluated electronic total energy for the records listed, in turn: -8.36, -8.97, -6.88, -9.29, -8.66, -7.78, -7.51, -9.26 eV per atom.